Here is a relaxed Al2CdSe2 crystal from the Alexandria database. Energies are from GGA-PBE.

Values from the calculation:
* ΔE to the lowest computed polymorph: 2.122 kcal/mol of atoms
* E_tot: -0.114 hartree per atom
* density of states at the Fermi level: 4.7 states/eV/cell

Lattice parameters (Å, degrees): 7.7449 7.7449 3.4982 90.00 90.00 90.00
Space group P4/mbm (No. 127)
Inequivalent atoms, fractional coordinates:
Al 0.1521 0.3479 0.0000 (multiplicity 4)
Cd 0.0000 0.0000 0.5000 (multiplicity 2)
Se 0.1537 0.6537 0.5000 (multiplicity 4)



Here is a relaxed AlCdSe4 crystal from the Alexandria database. Energies are from GGA-PBE.

Values from the calculation:
* E_tot: -0.099 hartree per atom
* density of states at the Fermi level: 11.7 states/eV/cell

Lattice parameters (Å, degrees): 8.2352 8.2352 8.2352 90.00 90.00 90.00
Space group F-43m (No. 216)
Inequivalent atoms, fractional coordinates:
Al 0.0000 0.0000 0.0000 (multiplicity 4)
Cd 0.2500 0.2500 0.7500 (multiplicity 4)
Se 0.1240 0.1240 0.3760 (multiplicity 16)



Here is a relaxed AlCd3Se crystal from the Alexandria database. Energies are from GGA-PBE.

Values from the calculation:
* ΔE to the lowest computed polymorph: 0.000 kcal/mol of atoms
* E_tot: -0.061 hartree per atom
* density of states at the Fermi level: 7.6 states/eV/cell

Lattice parameters (Å, degrees): 5.1987 5.1987 5.1987 90.00 90.00 90.00
Space group Pm-3m (No. 221)
Inequivalent atoms, fractional coordinates:
Al 0.0000 0.0000 0.0000 (multiplicity 1)
Cd 0.0000 0.0000 0.5000 (multiplicity 3)
Se 0.5000 0.5000 0.5000 (multiplicity 1)



Here is a relaxed AlCd3Se4 crystal from the Alexandria database. Energies are from GGA-PBE.

Values from the calculation:
* ΔE to the lowest computed polymorph: 0.240 kcal/mol of atoms
* E_tot: -0.115 hartree per atom
* density of states at the Fermi level: 3.7 states/eV/cell

Lattice parameters (Å, degrees): 6.1589 6.1589 6.1589 90.00 90.00 90.00
Space group P-43m (No. 215)
Inequivalent atoms, fractional coordinates:
Al 0.0000 0.0000 0.0000 (multiplicity 1)
Cd 0.0000 0.5000 0.5000 (multiplicity 3)
Se 0.2326 0.2326 0.2326 (multiplicity 4)



Here is a relaxed AlCdSe3 crystal from the Alexandria database. Energies are from GGA-PBE.

Values from the calculation:
* ΔE to the lowest computed polymorph: 0.000 kcal/mol of atoms
* E_tot: -0.112 hartree per atom
* density of states at the Fermi level: 3.2 states/eV/cell

Lattice parameters (Å, degrees): 4.9308 4.9308 4.9308 90.00 90.00 90.00
Space group Pm-3m (No. 221)
Inequivalent atoms, fractional coordinates:
Al 0.0000 0.0000 0.0000 (multiplicity 1)
Cd 0.5000 0.5000 0.5000 (multiplicity 1)
Se 0.0000 0.0000 0.5000 (multiplicity 3)



Here is a relaxed AlCd2SiSe crystal from the Alexandria database. Energies are from GGA-PBE.

Values from the calculation:
* E_tot: -0.097 hartree per atom
* density of states at the Fermi level: 0.9 states/eV/cell

Lattice parameters (Å, degrees): 5.0122 5.0122 5.0033 90.00 90.00 90.00
Space group P4/mmm (No. 123)
Inequivalent atoms, fractional coordinates:
Al 0.0000 0.0000 0.0000 (multiplicity 1)
Cd 0.0000 0.5000 0.5000 (multiplicity 2)
Si 0.0000 0.0000 0.5000 (multiplicity 1)
Se 0.5000 0.5000 0.0000 (multiplicity 1)



Here is a relaxed Sr2AlCdSe5 crystal from the Alexandria database. Energies are from GGA-PBE.

Values from the calculation:
* E_tot: -0.148 hartree per atom
* density of states at the Fermi level: 27.5 states/eV/cell

Lattice parameters (Å, degrees): 4.1043 19.1136 12.4593 90.00 90.00 90.00
Space group Cmc2_1 (No. 36)
Inequivalent atoms, fractional coordinates:
Sr 0.0000 0.1099 0.0000 (multiplicity 4)
Sr 0.0000 0.1167 0.6343 (multiplicity 4)
Al 0.0000 0.4305 0.7747 (multiplicity 4)
Cd 0.0000 0.2299 0.3624 (multiplicity 4)
Se 0.0000 0.0500 0.3812 (multiplicity 4)
Se 0.0000 0.2775 0.0148 (multiplicity 4)
Se 0.0000 0.3077 0.7179 (multiplicity 4)
Se 0.0000 0.3681 0.3215 (multiplicity 4)
Se 0.0000 0.4912 0.6091 (multiplicity 4)



Here is a relaxed AlTlCd2Se crystal from the Alexandria database. Energies are from GGA-PBE.

Values from the calculation:
* E_tot: -0.082 hartree per atom
* density of states at the Fermi level: 1.1 states/eV/cell

Lattice parameters (Å, degrees): 5.2997 5.2997 5.2000 90.00 90.00 90.00
Space group P4/mmm (No. 123)
Inequivalent atoms, fractional coordinates:
Al 0.0000 0.0000 0.0000 (multiplicity 1)
Tl 0.5000 0.5000 0.5000 (multiplicity 1)
Cd 0.0000 0.5000 0.0000 (multiplicity 2)
Se 0.0000 0.0000 0.5000 (multiplicity 1)